# Pr2YHf | Alexandria | GGA-PBE | optimized geometry
# Energy of formation in eV per atom: 0.215
# E above lowest polymorph in meV/atom: 28
data_Pr2YHf
_chemical_formula_sum 'Pr2 Y1 Hf1'
_cell_length_a 4.075
_cell_length_b 4.075
_cell_length_c 7.428
_cell_angle_alpha 90.00
_cell_angle_beta 90.00
_cell_angle_gamma 90.00
_symmetry_space_group_name_H-M 'P 4/m m m'
_symmetry_Int_Tables_number 123
_symmetry_space_group_name_Hall '-P 4 2'
loop_
_atom_site_label
_atom_site_type_symbol
_atom_site_fract_x
_atom_site_fract_y
_atom_site_fract_z
_atom_site_occupancy
Pr1 Pr 0.000 0.000 0.223 1
Y1 Y 0.500 0.500 0.500 1
Hf1 Hf 0.500 0.500 0.000 1



The following is a GGA-PBE calculation of a geometry-optimized GaSiNi2Sb structure, from Alexandria.

Geometry as CIF:
```
data_GaSiNi2Sb
_chemical_formula_sum 'Ga1 Si1 Ni2 Sb1'
_cell_length_a 4.693
_cell_length_b 4.693
_cell_length_c 5.226
_cell_angle_alpha 90.00
_cell_angle_beta 90.00
_cell_angle_gamma 90.00
_symmetry_space_group_name_H-M 'P 4/m m m'
_symmetry_Int_Tables_number 123
_symmetry_space_group_name_Hall '-P 4 2'
loop_
_atom_site_label
_atom_site_type_symbol
_atom_site_fract_x
_atom_site_fract_y
_atom_site_fract_z
_atom_site_occupancy
Ga1 Ga 0.000 0.000 0.000 1
Si1 Si 0.500 0.500 0.000 1
Ni1 Ni 0.000 0.500 0.500 1
Sb1 Sb 0.500 0.500 0.500 1
```



# ScRuS2Cl | Alexandria | GGA-PBE | optimized geometry
# E above lowest polymorph in meV/atom: 0
data_ScRuS2Cl
_chemical_formula_sum 'Sc1 Ru1 S2 Cl1'
_cell_length_a 4.638
_cell_length_b 4.638
_cell_length_c 4.652
_cell_angle_alpha 90.00
_cell_angle_beta 90.00
_cell_angle_gamma 90.00
_symmetry_space_group_name_H-M 'P 4/m m m'
_symmetry_Int_Tables_number 123
_symmetry_space_group_name_Hall '-P 4 2'
loop_
_atom_site_label
_atom_site_type_symbol
_atom_site_fract_x
_atom_site_fract_y
_atom_site_fract_z
_atom_site_occupancy
Sc1 Sc 0.000 0.000 0.000 1
Ru1 Ru 0.500 0.500 0.500 1
S1 S 0.000 0.500 0.500 1
Cl1 Cl 0.500 0.500 0.000 1



# MgCrCu | Alexandria | GGA-PBE | optimized geometry
# Energy of formation in eV per atom: 0.297
# E above lowest polymorph in meV/atom: 0
data_MgCrCu
_chemical_formula_sum 'Mg2 Cr2 Cu2'
_cell_length_a 3.191
_cell_length_b 3.191
_cell_length_c 9.331
_cell_angle_alpha 90.00
_cell_angle_beta 90.00
_cell_angle_gamma 90.00
_symmetry_space_group_name_H-M 'I 4 m m'
_symmetry_Int_Tables_number 107
_symmetry_space_group_name_Hall 'I 4 -2'
loop_
_atom_site_label
_atom_site_type_symbol
_atom_site_fract_x
_atom_site_fract_y
_atom_site_fract_z
_atom_site_occupancy
Mg1 Mg 0.000 0.000 0.000 1
Cr1 Cr 0.000 0.000 0.692 1
Cu1 Cu 0.000 0.000 0.331 1



# Ac2Dy3Au4 | Alexandria | GGA-PBE | optimized geometry
# Energy of formation in eV per atom: -0.759
data_Ac2Dy3Au4
_chemical_formula_sum 'Ac4 Dy6 Au8'
_cell_length_a 7.915
_cell_length_b 7.836
_cell_length_c 8.662
_cell_angle_alpha 90.00
_cell_angle_beta 110.86
_cell_angle_gamma 90.00
_symmetry_space_group_name_H-M 'P 1 21/c 1'
_symmetry_Int_Tables_number 14
loop_
_symmetry_equiv_pos_as_xyz
'x,y,z'
'-x,-y,-z'
'-x,y+1/2,-z+1/2'
'x,-y+1/2,z+1/2'
loop_
_atom_site_label
_atom_site_type_symbol
_atom_site_fract_x
_atom_site_fract_y
_atom_site_fract_z
_atom_site_occupancy
Ac1 Ac 0.194 0.170 0.089 1
Dy1 Dy 0.248 0.650 0.250 1
Dy2 Dy 0.500 0.000 0.500 1
Au1 Au 0.100 0.551 0.880 1
Au2 Au 0.484 0.637 0.622 1



The following is a GGA-PBE calculation of a geometry-optimized Ba2LiSiI structure, from Alexandria.

Geometry as CIF:
```
data_Ba2LiSiI
_chemical_formula_sum 'Ba2 Li1 Si1 I1'
_cell_length_a 6.441
_cell_length_b 6.441
_cell_length_c 4.879
_cell_angle_alpha 90.00
_cell_angle_beta 90.00
_cell_angle_gamma 90.00
_symmetry_space_group_name_H-M 'P 4/m m m'
_symmetry_Int_Tables_number 123
_symmetry_space_group_name_Hall '-P 4 2'
loop_
_atom_site_label
_atom_site_type_symbol
_atom_site_fract_x
_atom_site_fract_y
_atom_site_fract_z
_atom_site_occupancy
Ba1 Ba 0.000 0.500 0.000 1
Li1 Li 0.000 0.000 0.500 1
Si1 Si 0.000 0.000 0.000 1
I1 I 0.500 0.500 0.500 1
```



| no. | energy (eV per cell) | Fermi-level density of states (states/eV/atom) |
| --- | --- | --- |
| 1 | -25.11 | 1.12 |
| 2 | -19.59 | 0.68 |
| 3 | -26.91 | 1.02 |
| 4 | -28.85 | 0.36 |
| 5 | -83.93 | 0.92 |
| 6 | -15.69 | 0.26 |